First-principles (PBE-GGA) data for an optimized crystal structure of PuGaSb, as listed in OQMD.

Computed properties:
density = 8187 kg/m³
energy = -7.30 eV per atom
spin magnetization = 23.92 μB per cell

a = 7.0694 Å, b = 7.0694 Å, c = 7.0694 Å
α = 90.00°, β = 90.00°, γ = 90.00°
Last column: nearest neighbours and their distance in Å.
Space group F-43m (No. 216)
One atom of each set of equivalent atoms:
Pu  0.0000  0.0000  0.0000 x4  4 Ga 3.06, 4 Sb 3.06
Ga  0.2500  0.2500  0.7500 x4  4 Pu 3.06
Sb  0.2500  0.2500  0.2500 x4  4 Pu 3.06

=====

First-principles (PBE-GGA) data for an optimized crystal structure of TaTe2S2I, as listed in OQMD.

Computed properties:
density = 4874 kg/m³
energy above the most stable polymorph in this dataset = 0.1 kJ/mol of formula units
energy = -5.11 eV per atom
spin magnetization = 0.00 μB per cell

a = 6.6512 Å, b = 8.6565 Å, c = 8.8566 Å
α = 64.64°, β = 68.12°, γ = 82.33°
Last column: nearest neighbours and their distance in Å.
Space group P-1 (No. 2)
One atom of each set of equivalent atoms:
Ta  0.2491  0.0012  0.9998 x2  4 S 2.49-2.51
Te  0.1440  0.0495  0.6937 x2  1 S 2.58
Te  0.4178  0.7347  0.2569 x2  1 S 2.54
S  0.0212  0.2359  0.8727 x2  2 Ta 2.49, 1 Te 2.58
S  0.4315  0.1761  0.0783 x2  2 Ta 2.50-2.51, 1 Te 2.54
I  0.2296  0.7154  0.6438 x2  2 Te 3.06-3.12

=====

First-principles (PBE-GGA) data for an optimized crystal structure of GaCo2Pd, as listed in OQMD.

Computed properties:
density = 9653 kg/m³
energy = -5.71 eV per atom
spin magnetization = 12.09 μB per cell

a = 5.8705 Å, b = 5.8705 Å, c = 5.8705 Å
α = 90.00°, β = 90.00°, γ = 90.00°
Last column: nearest neighbours and their distance in Å.
Space group F-43m (No. 216)
One atom of each set of equivalent atoms:
Ga  0.0000  0.0000  0.0000 x4  4 Co 2.54, 4 Pd 2.54
Co  0.0000  0.0000  0.5000 x4  4 Pd 2.54, 4 Co 2.54
Co  0.2500  0.2500  0.7500 x4  4 Co 2.54, 4 Ga 2.54
Pd  0.2500  0.2500  0.2500 x4  4 Ga 2.54, 4 Co 2.54

=====

First-principles (PBE-GGA) data for an optimized crystal structure of K2Zr2Mo, as listed in OQMD.

Computed properties:
density = 3561 kg/m³
energy = -4.56 eV per atom
spin magnetization = 0.00 μB per cell

a = 4.9092 Å, b = 4.9092 Å, c = 15.9328 Å
α = 90.00°, β = 90.00°, γ = 120.00°
Last column: nearest neighbours and their distance in Å.
Space group P6_3/mmc (No. 194)
One atom of each set of equivalent atoms:
K  0.0000  0.0000  0.0000 x2  6 Zr 3.86, 2 Mo 3.98
K  0.3333  0.6667  0.2500 x2  3 Mo 2.83, 6 Zr 3.15
Zr  0.3333  0.6667  0.6644 x4  1 Zr 2.73
Mo  0.0000  0.0000  0.2500 x2  3 K 2.83, 6 Zr 3.15

=====

First-principles (PBE-GGA) data for an optimized crystal structure of AlReBi, as listed in OQMD.

Computed properties:
density = 11165 kg/m³
energy = -5.71 eV per atom
spin magnetization = 0.03 μB per cell

a = 6.3093 Å, b = 6.3093 Å, c = 6.3093 Å
α = 90.00°, β = 90.00°, γ = 90.00°
Last column: nearest neighbours and their distance in Å.
Space group F-43m (No. 216)
One atom of each set of equivalent atoms:
Al  0.0000  0.0000  0.0000 x4  4 Bi 2.73, 4 Re 2.73
Re  0.2500  0.2500  0.2500 x4  4 Al 2.73
Bi  0.2500  0.2500  0.7500 x4  4 Al 2.73

=====

First-principles (PBE-GGA) data for an optimized crystal structure of KBaZrAu, as listed in OQMD.

Computed properties:
density = 6257 kg/m³
energy above the most stable polymorph in this dataset = 0.0 kJ/mol of formula units
energy = -3.21 eV per atom
spin magnetization = 8.63 μB per cell

a = 7.9010 Å, b = 7.9010 Å, c = 7.9010 Å
α = 90.00°, β = 90.00°, γ = 90.00°
Last column: nearest neighbours and their distance in Å.
Space group F-43m (No. 216)
One atom of each set of equivalent atoms:
K  0.0000  0.0000  0.0000 x4  4 Ba 3.42, 4 Zr 3.42
Ba  0.2500  0.2500  0.7500 x4  4 K 3.42, 4 Au 3.42
Zr  0.2500  0.2500  0.2500 x4  4 K 3.42, 4 Au 3.42
Au  0.0000  0.0000  0.5000 x4  4 Zr 3.42, 4 Ba 3.42

=====

First-principles (PBE-GGA) data for an optimized crystal structure of CoCuHgBi, as listed in OQMD.

Computed properties:
density = 11516 kg/m³
energy above the most stable polymorph in this dataset = 91.2 kJ/mol of formula units
energy = -3.11 eV per atom
spin magnetization = 3.23 μB per cell

a = 6.7451 Å, b = 6.7451 Å, c = 6.7451 Å
α = 90.00°, β = 90.00°, γ = 90.00°
Last column: nearest neighbours and their distance in Å.
Space group F-43m (No. 216)
One atom of each set of equivalent atoms:
Co  0.0000  0.0000  0.0000 x4  4 Cu 2.92, 4 Hg 2.92
Cu  0.2500  0.2500  0.7500 x4  4 Co 2.92, 4 Bi 2.92
Hg  0.2500  0.2500  0.2500 x4  4 Co 2.92, 4 Bi 2.92
Bi  0.0000  0.0000  0.5000 x4  4 Hg 2.92, 4 Cu 2.92

=====

First-principles (PBE-GGA) data for an optimized crystal structure of Th2ZnGa3, as listed in OQMD.

Computed properties:
density = 9162 kg/m³
energy = -4.77 eV per atom
spin magnetization = 0.08 μB per cell

a = 8.4334 Å, b = 8.5654 Å, c = 14.8261 Å
α = 90.00°, β = 90.00°, γ = 90.00°
Last column: nearest neighbours and their distance in Å.
Space group Fmmm (No. 69)
One atom of each set of equivalent atoms:
Th  0.2476  0.0000  0.0000 x8  10 Ga 3.25, 2 Zn 3.26
Th  0.2500  0.2500  0.2500 x8  8 Ga 3.24, 4 Zn 3.25
Zn  0.0000  0.0000  0.3336 x8  3 Ga 2.45-2.46
Ga  0.0000  0.0000  0.1678 x8  1 Zn 2.46, 2 Ga 2.50
Ga  0.0000  0.2475  0.4161 x16  1 Zn 2.45, 2 Ga 2.49-2.50

=====

Repeat the third record exactly.
First-principles (PBE-GGA) data for an optimized crystal structure of GaCo2Pd, as listed in OQMD.

Computed properties:
density = 9653 kg/m³
energy = -5.71 eV per atom
spin magnetization = 12.09 μB per cell

a = 5.8705 Å, b = 5.8705 Å, c = 5.8705 Å
α = 90.00°, β = 90.00°, γ = 90.00°
Last column: nearest neighbours and their distance in Å.
Space group F-43m (No. 216)
One atom of each set of equivalent atoms:
Ga  0.0000  0.0000  0.0000 x4  4 Co 2.54, 4 Pd 2.54
Co  0.0000  0.0000  0.5000 x4  4 Pd 2.54, 4 Co 2.54
Co  0.2500  0.2500  0.7500 x4  4 Co 2.54, 4 Ga 2.54
Pd  0.2500  0.2500  0.2500 x4  4 Ga 2.54, 4 Co 2.54

=====

Please write out number 7 again, unchanged.
First-principles (PBE-GGA) data for an optimized crystal structure of CoCuHgBi, as listed in OQMD.

Computed properties:
density = 11516 kg/m³
energy above the most stable polymorph in this dataset = 91.2 kJ/mol of formula units
energy = -3.11 eV per atom
spin magnetization = 3.23 μB per cell

a = 6.7451 Å, b = 6.7451 Å, c = 6.7451 Å
α = 90.00°, β = 90.00°, γ = 90.00°
Last column: nearest neighbours and their distance in Å.
Space group F-43m (No. 216)
One atom of each set of equivalent atoms:
Co  0.0000  0.0000  0.0000 x4  4 Cu 2.92, 4 Hg 2.92
Cu  0.2500  0.2500  0.7500 x4  4 Co 2.92, 4 Bi 2.92
Hg  0.2500  0.2500  0.2500 x4  4 Co 2.92, 4 Bi 2.92
Bi  0.0000  0.0000  0.5000 x4  4 Hg 2.92, 4 Cu 2.92

=====

- Number 1 is which compound?
  PuGaSb